No. 1
A PBEsol-optimized structure of Zr5Pb. Source: Alexandria, functional SCAN.

abc: 4.3640 14.0527 4.3291
angles: 90.00 90.00 90.00
Space group Cmmm (No. 65)
Symmetry-distinct sites (fractional):
Zr 0.0000 0.0000 0.0000 x2
Zr 0.0000 0.1685 0.5000 x4
Zr 0.0000 0.3317 0.0000 x4
Pb 0.0000 0.5000 0.5000 x2

The crystal system is orthorhombic.

---

No. 2
A PBEsol-optimized structure of BaInRu2. Source: Alexandria, functional SCAN.

abc: 4.5746 4.5746 17.1671
angles: 90.00 90.00 120.00
Space group R-3m (No. 166, hexagonal axes)
Symmetry-distinct sites (fractional):
Ba 0.0000 0.0000 0.0000 x3
In 0.0000 0.0000 0.5000 x3
Ru 0.0000 0.0000 0.1753 x6

The crystal system is trigonal.

---

Number 1: formation energy -0.19 eV/atom. Number 2: formation energy 0.09 eV/atom.